1.
! AcEr2Rh, relaxed, DFT PBE; values from VASP
&SYSTEM
  ibrav = 0, nat = 4, ntyp = 3
/
ATOMIC_SPECIES
Ac 227.00 Ac.upf
Er 167.26 Er.upf
Rh 102.91 Rh.upf
ATOMIC_POSITIONS crystal
Ac 0.0000 0.0000 0.0000
Er 0.2218 0.2218 0.2218
Er 0.4492 0.4492 0.4492
Rh 0.8353 0.8353 0.8353
CELL_PARAMETERS angstrom
2.0069 1.1587 9.1211
-2.0069 1.1587 9.1211
0.0000 -2.3174 9.1211
! **Energy above the lowest structure with this stoichiometry**: 82 meV per atom
! **Total magnetic moment**: 0.000 μB/atom
! **Formation energy from the elements**: -0.401 eV per atom

=====

2.
! Ac2ErRh9, relaxed, DFT PBE; values from VASP
&SYSTEM
  ibrav = 0, nat = 12, ntyp = 3
/
ATOMIC_SPECIES
Ac 227.00 Ac.upf
Er 167.26 Er.upf
Rh 102.91 Rh.upf
ATOMIC_POSITIONS crystal
Ac 0.1374 0.1374 0.1374
Ac 0.8626 0.8626 0.8626
Er 0.0000 0.0000 0.0000
Rh 0.0805 0.5774 0.5774
Rh 0.3325 0.3325 0.3325
Rh 0.4226 0.4226 0.9195
Rh 0.4226 0.9195 0.4226
Rh 0.5000 0.5000 0.5000
Rh 0.5774 0.0805 0.5774
Rh 0.5774 0.5774 0.0805
Rh 0.6675 0.6675 0.6675
Rh 0.9195 0.4226 0.4226
CELL_PARAMETERS angstrom
2.6739 1.5438 9.0746
-2.6739 1.5438 9.0746
0.0000 -3.0876 9.0746
! **Total magnetic moment**: 0.000 μB/atom
! **Formation energy from the elements**: -0.446 eV per atom

=====

3.
! AcErRh, relaxed, DFT PBE; values from VASP
&SYSTEM
  ibrav = 0, nat = 3, ntyp = 3
/
ATOMIC_SPECIES
Ac 227.00 Ac.upf
Er 167.26 Er.upf
Rh 102.91 Rh.upf
ATOMIC_POSITIONS crystal
Ac 0.0000 0.0000 0.0000
Er 0.6667 0.3333 0.5251
Rh 0.3333 0.6667 0.7318
CELL_PARAMETERS angstrom
4.1891 0.0000 0.0000
-2.0945 3.6278 0.0000
0.0000 0.0000 6.3652
! **Energy above the lowest structure with this stoichiometry**: 41 meV per atom
! **Total magnetic moment**: 0.000 μB/atom
! **Formation energy from the elements**: -0.509 eV per atom

=====

4.
! AcEr2Rh, relaxed, DFT PBE; values from VASP
&SYSTEM
  ibrav = 0, nat = 4, ntyp = 3
/
ATOMIC_SPECIES
Ac 227.00 Ac.upf
Er 167.26 Er.upf
Rh 102.91 Rh.upf
ATOMIC_POSITIONS crystal
Ac 0.0000 0.0000 0.0000
Er 0.5000 0.5000 0.3234
Er 0.5000 0.5000 0.6766
Rh 0.0000 0.0000 0.5000
CELL_PARAMETERS angstrom
3.5432 0.0000 0.0000
0.0000 3.5432 0.0000
0.0000 0.0000 8.9919
! **Energy above the lowest structure with this stoichiometry**: 77 meV per atom
! **Total magnetic moment**: 0.000 μB/atom
! **Formation energy from the elements**: -0.406 eV per atom